A plane-wave DFT calculation with PBE-GGA was carried out for a geometry-optimized Tb6Si2Se3I structure.

Properties
VASP energy, eV per atom: -5.5449
Size of the total moment, μB per cell: 0.00
Crystal system: monoclinic

Cell lengths 18.1381, 4.1441, 8.4476 Å; angles 90.00, 102.20, 90.00 degrees
With the nearest neighbours (Å) after each atom.
Space group C2/m (No. 12)
Symmetry-distinct sites (fractional):
Tb  0.0110  0.0000  0.2852 x4  3 Se 2.79-3.03, 1 Si 2.79
Tb  0.1702  0.5000  0.5765 x4  3 Si 2.87-2.90, 3 Se 3.02-3.07
Tb  0.1793  0.5000  0.1125 x4  2 Si 2.84, 3 Se 2.88-3.07
Si  0.1683  0.0000  0.3360 x4  6 Tb 2.79-2.90
Se  0.0000  0.5000  0.5000 x2  6 Tb 2.79-3.02
Se  0.1586  0.0000  0.8387 x4  6 Tb 2.88-3.07
I  0.0000  0.5000  0.0000 x2  6 Tb 3.15-3.19

***

A plane-wave DFT calculation with PBE-GGA was carried out for a geometry-optimized TlSiSeI2 structure.

Properties
VASP energy, eV per atom: -2.5809
Size of the total moment, μB per cell: 0.00
Crystal system: tetragonal

Cell lengths 6.3130, 6.3130, 4.7980 Å; angles 90.00, 90.00, 90.00 degrees
With the nearest neighbours (Å) after each atom.
Space group P4/mmm (No. 123)
Symmetry-distinct sites (fractional):
Tl  0.0000  0.0000  0.0000 x1  8 I 3.96
Si  0.5000  0.5000  0.0000 x1  2 Se 2.40
Se  0.5000  0.5000  0.5000 x1  2 Si 2.40
I  0.0000  0.5000  0.5000 x2  2 Se 3.16

***

A plane-wave DFT calculation with PBE-GGA was carried out for a geometry-optimized YSi2SeI structure.

Properties
VASP energy, eV per atom: -3.9450
Size of the total moment, μB per cell: 0.00
Crystal system: tetragonal

Cell lengths 5.7334, 5.7334, 5.2298 Å; angles 90.00, 90.00, 90.00 degrees
With the nearest neighbours (Å) after each atom.
Space group P4/mmm (No. 123)
Symmetry-distinct sites (fractional):
Y  0.0000  0.0000  0.0000 x1  2 Se 2.61, 4 Si 2.87
Si  0.0000  0.5000  0.0000 x2  2 Y 2.87
Se  0.0000  0.0000  0.5000 x1  2 Y 2.61
I  0.5000  0.5000  0.5000 x1  8 Si 3.88, 4 Se 4.05

***

A plane-wave DFT calculation with PBE-GGA was carried out for a geometry-optimized SmSe2I2 structure.

Properties
VASP energy, eV per atom: -4.0178
Size of the total moment, μB per cell: 0.00
Crystal system: monoclinic

Cell lengths 8.1498, 14.3861, 8.6505 Å; angles 90.00, 107.42, 90.00 degrees
With the nearest neighbours (Å) after each atom.
Space group C2/m (No. 12)
Symmetry-distinct sites (fractional):
Sm  0.0000  0.1670  0.0000 x4  4 Se 3.06, 4 I 3.10-3.17
Se  0.0870  0.0000  0.2295 x4  1 Se 2.28
Se  0.2419  0.0000  0.0490 x4  1 Se 2.28
I  0.2055  0.2247  0.7563 x8  2 Sm 3.10-3.17

***

Question: Which value of VASP energy does entry 4 give?
Answer: -4.0178 eV per atom

***

Question: What is the VASP energy in the third record?
Answer: -3.9450 eV per atom

***

Question: What is the size of the total moment in the fourth record?
Answer: 0.00 μB per cell